Record 1
{"formula": "CrRh", "functional": "PBE", "state": "optimized geometry", "lattice_angstrom": [[4.142, 0.000, 0.000], [-2.071, 3.587, 0.000], [0.000, 0.000, 4.892]], "species": ["Cr", "Cr", "Rh", "Rh"], "frac_coords": [[0.333, 0.667, 0.250], [0.667, 0.333, 0.750], [0.333, 0.667, 0.750], [0.667, 0.333, 0.250]], "energy_ev_per_fu": -15.3, "delta_e_f_ev_per_atom": 0.858}


Record 2
{"formula": "BeTc2Se", "functional": "PBE", "state": "optimized geometry", "lattice_angstrom": [[8.479, 0.000, 0.000], [0.000, 3.027, 0.000], [-1.280, 0.000, 4.197]], "species": ["Be", "Be", "Tc", "Tc", "Tc", "Tc", "Se", "Se"], "frac_coords": [[0.000, 0.000, 0.000], [0.500, 0.500, 0.000], [0.003, 0.500, 0.525], [0.264, 0.000, 0.877], [0.503, 0.000, 0.525], [0.764, 0.500, 0.877], [0.248, 0.500, 0.314], [0.748, 0.000, 0.314]], "energy_ev_per_fu": -27.6, "e_form_raw_ev_per_atom": 0.0828}


Record 3
{"formula": "Sm2HF", "functional": "PBE", "state": "optimized geometry", "lattice_angstrom": [[3.593, 0.000, 0.000], [-1.796, 3.111, 0.000], [0.000, 0.000, 18.308]], "species": ["Sm", "Sm", "Sm", "Sm", "Sm", "Sm", "H", "H", "H", "F", "F", "F"], "frac_coords": [[0.000, 0.000, 0.243], [0.000, 0.000, 0.757], [0.333, 0.667, 0.423], [0.333, 0.667, 0.910], [0.667, 0.333, 0.090], [0.667, 0.333, 0.577], [0.000, 0.000, 0.500], [0.333, 0.667, 0.167], [0.667, 0.333, 0.833], [0.000, 0.000, 0.000], [0.333, 0.667, 0.667], [0.667, 0.333, 0.333]], "energy_ev_per_fu": -20.1}


Record 4
{"formula": "Ac4PmNd2Sm", "functional": "PBE", "state": "optimized geometry", "lattice_angstrom": [[6.826, 0.000, 0.000], [0.000, 7.420, 0.000], [0.000, 0.000, 12.435]], "species": ["Ac", "Ac", "Ac", "Ac", "Ac", "Ac", "Ac", "Ac", "Pm", "Pm", "Nd", "Nd", "Nd", "Nd", "Sm", "Sm"], "frac_coords": [[0.250, 0.126, 0.250], [0.250, 0.374, 0.750], [0.250, 0.626, 0.250], [0.250, 0.874, 0.750], [0.750, 0.126, 0.750], [0.750, 0.374, 0.250], [0.750, 0.626, 0.750], [0.750, 0.874, 0.250], [0.000, 0.000, 0.000], [0.500, 0.500, 0.500], [0.000, 0.250, 0.500], [0.000, 0.750, 0.500], [0.500, 0.250, 0.000], [0.500, 0.750, 0.000], [0.000, 0.500, 0.000], [0.500, 0.000, 0.500]], "energy_ev_per_fu": -34.5, "delta_e_f_ev_per_atom": 0.118}